No. 1
Material: Al2CoRu
Method: DFT, PBE
State: relaxed

Summary:
E_form = -41 kJ/mol of formula units
Total magnetization = 1.32 Bohr magnetons per cell
E = -24.3 eV for the cell shown

Cell lengths 8.403, 8.403, 8.403 Å; angles 19.04, 19.04, 19.04 degrees
Element x y z (fractional)
Al  0.997  0.997  0.997
Al  0.756  0.756  0.756
Ru  0.247  0.247  0.247
Co  0.500  0.500  0.500

No. 2
Material: AlCoRu2
Method: DFT, PBE
State: relaxed

Summary:
E_form = -47 kJ/mol of formula units
Total magnetization = 0.00 Bohr magnetons per cell
E = -29.9 eV for the cell shown

Cell lengths 4.528, 4.528, 4.528 Å; angles 130.61, 130.61, 72.43 degrees
Element x y z (fractional)
Co  0.750  0.250  0.500
Ru  0.000  0.000  0.000
Ru  0.500  0.500  0.000
Al  0.250  0.750  0.500

No. 3
Material: AlCo2Ru
Method: DFT, PBE
State: relaxed

Summary:
E_form = -18 kJ/mol of formula units
Total magnetization = 3.76 Bohr magnetons per cell
E = -27.4 eV for the cell shown

Cell lengths 4.669, 4.837, 2.646 Å; angles 78.77, 80.60, 115.98 degrees
Element x y z (fractional)
Co  0.500  0.000  0.500
Co  0.000  0.000  0.000
Ru  0.000  0.500  0.500
Al  0.500  0.500  0.000

No. 4
Material: AlCo2Ru
Method: DFT, PBE
State: relaxed

Summary:
E_form = 105 kJ/mol of formula units
Total magnetization = 7.07 Bohr magnetons per cell
E = -52.3 eV for the cell shown

Cell lengths 3.481, 3.481, 9.278 Å; angles 79.19, 79.19, 90.00 degrees
Element x y z (fractional)
Ru  0.000  0.000  0.000
Ru  0.750  0.250  0.500
Co  0.375  0.399  0.750
Co  0.149  0.625  0.250
Co  0.875  0.851  0.750
Co  0.601  0.125  0.250
Al  0.500  0.500  0.000
Al  0.250  0.750  0.500

No. 5
Material: AlCo3Ru
Method: DFT, PBE
State: relaxed

Summary:
E_form = 650 kJ/mol of formula units
Total magnetization = 4.73 Bohr magnetons per cell
E = -27.6 eV for the cell shown

Cell lengths 4.436, 4.436, 4.436 Å; angles 90.00, 90.00, 90.00 degrees
Element x y z (fractional)
Co  0.500  0.000  0.000
Co  0.000  0.000  0.500
Co  0.000  0.500  0.000
Al  0.500  0.500  0.500
Ru  0.000  0.000  0.000

No. 6
Material: Al2CoRu
Method: DFT, PBE
State: relaxed

Summary:
E_form = -108 kJ/mol of formula units
Total magnetization = 0.73 Bohr magnetons per cell
E = -25.0 eV for the cell shown

Cell lengths 2.726, 2.726, 7.772 Å; angles 90.00, 90.00, 112.82 degrees
Element x y z (fractional)
Al  0.000  0.000  0.010
Al  0.000  0.000  0.490
Co  0.500  0.500  0.250
Ru  0.500  0.500  0.750

No. 7
Material: AlCoRu2
Method: DFT, PBE
State: relaxed

Summary:
E_form = 31 kJ/mol of formula units
Total magnetization = 2.89 Bohr magnetons per cell
E = -29.1 eV for the cell shown

Cell lengths 2.690, 2.690, 8.317 Å; angles 90.00, 90.00, 114.79 degrees
Element x y z (fractional)
Al  0.500  0.500  0.250
Co  0.500  0.500  0.750
Ru  0.000  0.000  0.499
Ru  0.000  0.000  0.001

No. 8
Material: AlCoRu2
Method: DFT, PBE
State: relaxed

Summary:
E_form = -40 kJ/mol of formula units
Total magnetization = 0.02 Bohr magnetons per cell
E = -29.8 eV for the cell shown

Cell lengths 4.515, 4.515, 4.599 Å; angles 79.15, 79.15, 34.98 degrees
Element x y z (fractional)
Ru  0.995  0.995  0.009
Ru  0.505  0.505  0.491
Al  0.750  0.750  0.750
Co  0.250  0.250  0.250

No. 9
Material: AlCoRu
Method: DFT, PBE
State: relaxed

Summary:
E_form = -48 kJ/mol of formula units
Total magnetization = 2.45 Bohr magnetons per cell
E = -20.6 eV for the cell shown

Cell lengths 4.071, 4.071, 2.744 Å; angles 90.00, 90.00, 120.00 degrees
Element x y z (fractional)
Al  0.000  0.000  0.059
Ru  0.333  0.667  0.651
Co  0.667  0.333  0.290

No. 10
Material: AlCoRu
Method: DFT, PBE
State: relaxed

Summary:
E_form = -84 kJ/mol of formula units
Total magnetization = 2.17 Bohr magnetons per cell
E = -21.0 eV for the cell shown

Cell lengths 5.018, 5.018, 5.018 Å; angles 146.43, 146.43, 48.20 degrees
Element x y z (fractional)
Co  0.337  0.337  0.000
Al  0.995  0.995  0.000
Ru  0.668  0.668  0.000

No. 11
Material: Al3CoRu
Method: DFT, PBE
State: relaxed

Summary:
E_form = 129 kJ/mol of formula units
Total magnetization = 0.00 Bohr magnetons per cell
E = -26.3 eV for the cell shown

Cell lengths 4.306, 4.306, 4.306 Å; angles 90.00, 90.00, 90.00 degrees
Element x y z (fractional)
Al  0.000  0.500  0.000
Al  0.500  0.000  0.000
Al  0.000  0.000  0.500
Ru  0.500  0.500  0.500
Co  0.000  0.000  0.000

No. 12
Material: AlCo2Ru
Method: DFT, PBE
State: relaxed

Summary:
E_form = -7 kJ/mol of formula units
Total magnetization = 1.34 Bohr magnetons per cell
E = -27.3 eV for the cell shown

Cell lengths 8.259, 8.259, 8.259 Å; angles 18.42, 18.42, 18.42 degrees
Element x y z (fractional)
Ru  0.250  0.250  0.250
Co  0.002  0.002  0.002
Co  0.498  0.498  0.498
Al  0.750  0.750  0.750

No. 13
Material: AlCoRu2
Method: DFT, PBE
State: relaxed

Summary:
E_form = -64 kJ/mol of formula units
Total magnetization = 0.78 Bohr magnetons per cell
E = -30.1 eV for the cell shown

Cell lengths 4.598, 4.598, 4.598 Å; angles 132.19, 132.19, 69.93 degrees
Element x y z (fractional)
Ru  0.000  0.000  0.000
Ru  0.250  0.750  0.500
Co  0.750  0.250  0.500
Al  0.500  0.500  0.000

No. 14
Material: AlCo2Ru
Method: DFT, PBE
State: relaxed

Summary:
E_form = -61 kJ/mol of formula units
Total magnetization = 3.84 Bohr magnetons per cell
E = -27.9 eV for the cell shown

Cell lengths 4.806, 4.806, 4.806 Å; angles 143.99, 129.45, 63.62 degrees
Element x y z (fractional)
Co  0.756  0.256  0.500
Co  0.000  0.000  0.000
Ru  0.500  0.500  0.000
Al  0.244  0.744  0.500